(1)
A plane-wave DFT calculation with PBE was carried out for a relaxed Na12Cd6Sn crystal.

Values from the calculation:
As for the calculated formation energy: -0.073 eV/atom. The value obtained for the mass density is 3.23 g/cm³.

Cell: 11.4294 11.4294 14.5742 Å, 90.00 90.00 120.00°
Closest atoms and distances in Å follow each position.
Space group R-3 (No. 148, hexagonal axes)
Inequivalent atoms, fractional coordinates:
1 Na 0.0344 0.1904 0.3154 (multiplicity 18)  5 Na 3.20-3.57, 4 Cd 3.32-3.55, 1 Sn 3.36
2 Na 0.0608 0.8418 0.9130 (multiplicity 18)  4 Cd 3.27-3.52, 5 Na 3.38-3.57
3 Cd 0.0324 0.4409 0.2015 (multiplicity 18)  1 Sn 3.14, 2 Cd 3.26, 7 Na 3.27-3.52
4 Sn 0.0000 0.0000 0.5000 (multiplicity 3)  6 Cd 3.14, 6 Na 3.36

(2)
A plane-wave DFT calculation with PBE was carried out for a relaxed TeRu crystal.

Values from the calculation:
The formation energy without anion corrections comes out at 0.3 eV/f.u. The value obtained for the mass density is 6.22 g/cm³.

Cell: 11.1846 11.1846 3.9039 Å, 90.00 90.00 90.00°
Closest atoms and distances in Å follow each position.
Space group P4/m (No. 83)
Inequivalent atoms, fractional coordinates:
1 Te 0.0768 0.3157 0.0000 (multiplicity 4)  4 Ru 2.58-2.62
2 Te 0.2426 0.6257 0.5000 (multiplicity 4)  4 Ru 2.55-2.61
3 Ru 0.1122 0.5469 0.0000 (multiplicity 4)  4 Te 2.59-2.62, 3 Ru 2.72-2.78
4 Ru 0.2049 0.3955 0.5000 (multiplicity 4)  4 Te 2.55-2.61, 2 Ru 2.78

Q: Which of these has the lowest mass density?
A: Na12Cd6Sn

Q: Number 1 is which compound?
A: Na12Cd6Sn